(1)
Material: TaAl4Au
Method: DFT, PBE
State: relaxed Values from VASP.

```
&SYSTEM
  ibrav = 0, nat = 6, ntyp = 3
/
ATOMIC_SPECIES
Ta 180.95 Ta.upf
Al 26.98 Al.upf
Au 196.97 Au.upf
ATOMIC_POSITIONS crystal
Ta 0.0000 0.0000 0.0000
Al 0.3748 0.8755 0.3748
Al 0.8755 0.3748 0.3748
Al 0.3748 0.3748 0.8755
Al 0.3748 0.3748 0.3748
Au 0.7500 0.7500 0.7500
CELL_PARAMETERS angstrom
2.5672 -0.3658 4.4922
-0.4321 3.7592 3.5476
-2.5937 -0.8772 4.4054
```

(2)
Material: Ta2AlAu
Method: DFT, PBE
State: relaxed Values from VASP.

```
&SYSTEM
  ibrav = 0, nat = 4, ntyp = 3
/
ATOMIC_SPECIES
Au 196.97 Au.upf
Al 26.98 Al.upf
Ta 180.95 Ta.upf
ATOMIC_POSITIONS crystal
Au 0.7500 0.7500 0.7500
Al 0.2500 0.2500 0.2500
Ta 0.9990 0.9990 0.9990
Ta 0.5010 0.5010 0.5010
CELL_PARAMETERS angstrom
-1.0791 -8.1207 5.1881
0.2966 -9.2560 2.8751
1.8382 -8.0690 5.0536
```

(3)
Material: Ta2AlAu
Method: DFT, PBE
State: relaxed Values from VASP.

```
&SYSTEM
  ibrav = 0, nat = 4, ntyp = 3
/
ATOMIC_SPECIES
Au 196.97 Au.upf
Al 26.98 Al.upf
Ta 180.95 Ta.upf
ATOMIC_POSITIONS crystal
Au 0.5000 0.5000 0.7360
Al 0.0000 0.0000 0.5054
Ta 0.0000 0.0000 0.9949
Ta 0.5000 0.5000 0.2637
CELL_PARAMETERS angstrom
-1.4801 -2.1804 -1.1416
1.7680 0.3803 -2.2311
5.4688 -5.4910 3.3975
```

(4)
Material: Ta2AlAu
Method: DFT, PBE
State: relaxed Values from VASP.

```
&SYSTEM
  ibrav = 0, nat = 4, ntyp = 3
/
ATOMIC_SPECIES
Au 196.97 Au.upf
Al 26.98 Al.upf
Ta 180.95 Ta.upf
ATOMIC_POSITIONS crystal
Au 0.0000 0.5000 0.5000
Al 0.5000 0.0000 0.5000
Ta 0.0000 0.0000 0.0000
Ta 0.5000 0.5000 0.0000
CELL_PARAMETERS angstrom
-3.1284 1.2198 3.6893
1.6803 -3.8460 2.6964
1.9853 1.6622 1.1338
```

(5)
Material: Tb3Al8Au3
Method: DFT, PBE
State: relaxed Values from VASP.

```
&SYSTEM
  ibrav = 0, nat = 14, ntyp = 3
/
ATOMIC_SPECIES
Tb 158.93 Tb.upf
Al 26.98 Al.upf
Au 196.97 Au.upf
ATOMIC_POSITIONS crystal
Tb 0.5000 0.5000 0.5000
Tb 0.8103 0.1897 0.1897
Tb 0.1897 0.8103 0.8103
Al 0.6286 0.0887 0.6540
Al 0.3714 0.9113 0.3460
Al 0.6286 0.6540 0.0887
Al 0.3714 0.3460 0.9113
Al 0.8341 0.7951 0.5367
Al 0.1659 0.2049 0.4633
Al 0.8341 0.5367 0.7951
Al 0.1659 0.4633 0.2049
Au 0.5000 0.0000 0.0000
Au 0.0000 0.7772 0.2228
Au 0.0000 0.2228 0.7772
CELL_PARAMETERS angstrom
4.3677 0.0000 0.0000
2.1838 8.0252 -0.2299
2.1838 1.9637 7.7846
```

(6)
Material: Tb2Al3Au
Method: DFT, PBE
State: relaxed Values from VASP.

```
&SYSTEM
  ibrav = 0, nat = 6, ntyp = 3
/
ATOMIC_SPECIES
Tb 158.93 Tb.upf
Al 26.98 Al.upf
Au 196.97 Au.upf
ATOMIC_POSITIONS crystal
Tb 0.5390 0.2109 0.7112
Tb 0.4552 0.7910 0.2987
Al 0.8420 0.6140 0.7020
Al 0.8343 0.2235 0.1079
Al 0.1628 0.7801 0.8943
Au 0.1668 0.3806 0.2859
CELL_PARAMETERS angstrom
4.1871 0.0000 1.7536
1.8923 5.2339 1.3572
0.0145 -0.1473 5.8410
```

It is found that the ΔH_f (0 K) values, taken in the order of the records, are 89, 5, -157, 76, -546, -636 meV per atom.